DFT (PBE) results for Li8Re4O11 after structural relaxation.

a = 9.8001 Å, b = 4.8432 Å, c = 5.2833 Å
α = 98.08°, β = 98.76°, γ = 121.78°
With the nearest neighbours (Å) after each atom.
Fractional coordinates of all 23 atoms:
Li 0.2515 0.5157 0.9866  5 O 1.92-2.09
Re 0.4080 0.2015 0.0048  5 O 2.02-2.18
Li 0.6744 0.6503 0.4970  5 O 1.96-2.14
Li 0.8300 0.3366 0.4997  6 O 2.01-2.16
O 0.5397 0.4016 0.7413  4 Li 1.94-2.11, 2 Re 1.99-2.04
O 0.2024 0.0853 0.7365  4 Li 1.95-2.07, 2 Re 2.02-2.06
Re 0.5768 0.7826 0.0105  5 O 1.99-2.19
O 0.9499 0.5779 0.2450  4 Li 2.00-2.20, 2 Re 2.05-2.07
O 0.1377 0.2766 0.2512  4 Li 1.96-2.10, 2 Re 2.06-2.08
O 0.3898 0.7673 0.7754  4 Li 1.92-2.13, 1 Re 2.01
Re 0.0830 0.8442 0.0024  6 O 2.05-2.07
Li 0.9990 0.0022 0.4954  6 O 2.00-2.10
O 0.8700 0.7409 0.7528  4 Li 1.96-2.09, 2 Re 2.05-2.06
Li 0.1763 0.6701 0.5038  6 O 1.98-2.20
Li 0.5064 0.0090 0.5128  5 O 1.94-2.13
O 0.0508 0.4331 0.7506  4 Li 1.97-2.13, 2 Re 2.04-2.07
Li 0.3270 0.3410 0.5056  5 O 1.95-2.11
O 0.7933 0.9219 0.2597  4 Li 1.99-2.18, 2 Re 2.02-2.10
Li 0.7440 0.4732 0.9955  6 O 2.00-2.18
Re 0.9225 0.1718 0.9965  6 O 2.03-2.10
O 0.2941 0.9332 0.2541  2 Re 2.02-2.07, 4 Li 2.02-2.13
O 0.7140 0.0788 0.7523  4 Li 2.00-2.12, 2 Re 2.03-2.19
O 0.6056 0.2019 0.2205  4 Li 2.01-2.16, 2 Re 2.03-2.09

space group = No. 1
calculated total energy = -6.82 eV per atom
crystal system = triclinic
total magnetization = 0.0000 μB/atom